Record 1
This record from Alexandria describes an optimized crystal structure of Nb3Zn2Bi3O14. The functional is PBE.

Cell: 10.680 10.680 10.680 Å, 90.00 90.00 90.00°
Element x y z (fractional)
Nb1 0.125 0.125 0.375
Nb2 0.125 0.375 0.125
Nb3 0.125 0.875 0.625
Nb4 0.375 0.125 0.125
Nb5 0.375 0.625 0.625
Nb6 0.375 0.875 0.875
Nb7 0.625 0.125 0.875
Nb8 0.625 0.375 0.625
Nb9 0.625 0.625 0.375
Nb10 0.875 0.375 0.875
Nb11 0.875 0.625 0.125
Nb12 0.875 0.875 0.375
Zn1 0.125 0.375 0.625
Zn2 0.125 0.625 0.875
Zn3 0.375 0.375 0.375
Zn4 0.375 0.625 0.125
Zn5 0.625 0.125 0.375
Zn6 0.625 0.875 0.125
Zn7 0.875 0.125 0.625
Zn8 0.875 0.875 0.875
Bi1 0.096 0.125 0.846
Bi2 0.125 0.846 0.096
Bi3 0.154 0.596 0.375
Bi4 0.346 0.404 0.875
Bi5 0.375 0.154 0.596
Bi6 0.404 0.875 0.346
Bi7 0.596 0.375 0.154
Bi8 0.625 0.654 0.904
Bi9 0.654 0.904 0.625
Bi10 0.846 0.096 0.125
Bi11 0.875 0.346 0.404
Bi12 0.904 0.625 0.654
O1 0.001 0.312 0.999
O2 0.001 0.501 0.188
O3 0.005 0.702 0.011
O4 0.011 0.005 0.702
O5 0.021 0.479 0.521
O6 0.048 0.745 0.739
O7 0.062 0.251 0.251
O8 0.188 0.001 0.501
O9 0.202 0.489 0.995
O10 0.229 0.271 0.729
O11 0.239 0.452 0.255
O12 0.245 0.761 0.952
O13 0.249 0.749 0.562
O14 0.249 0.938 0.751
O15 0.251 0.062 0.251
O16 0.251 0.251 0.062
O17 0.255 0.239 0.452
O18 0.261 0.548 0.755
O19 0.271 0.729 0.229
O20 0.298 0.511 0.495
O21 0.312 0.999 0.001
O22 0.438 0.749 0.751
O23 0.452 0.255 0.239
O24 0.479 0.521 0.021
O25 0.489 0.995 0.202
O26 0.495 0.298 0.511
O27 0.499 0.499 0.688
O28 0.499 0.688 0.499
O29 0.501 0.188 0.001
O30 0.501 0.999 0.812
O31 0.505 0.798 0.989
O32 0.511 0.495 0.298
O33 0.521 0.021 0.479
O34 0.548 0.755 0.261
O35 0.562 0.249 0.749
O36 0.688 0.499 0.499
O37 0.702 0.011 0.005
O38 0.729 0.229 0.271
O39 0.739 0.048 0.745
O40 0.745 0.739 0.048
O41 0.749 0.562 0.249
O42 0.749 0.751 0.438
O43 0.751 0.249 0.938
O44 0.751 0.438 0.749
O45 0.755 0.261 0.548
O46 0.761 0.952 0.245
O47 0.771 0.771 0.771
O48 0.798 0.989 0.505
O49 0.812 0.501 0.999
O50 0.938 0.751 0.249
O51 0.952 0.245 0.761
O52 0.979 0.979 0.979
O53 0.989 0.505 0.798
O54 0.995 0.202 0.489
O55 0.999 0.001 0.312
O56 0.999 0.812 0.501

Calculated values
**D(E_F)**: 0.00 states/eV/f.u.
**DFT total energy**: -7.08 eV/atom
**Space group**: P4_132


Record 2
This record from Alexandria describes an optimized crystal structure of Nb2BiOs. The functional is PBE.

Cell: 10.299 10.299 10.299 Å, 157.36 157.36 32.23°
Element x y z (fractional)
Nb1 0.124 0.625 0.999
Nb2 0.375 0.374 0.499
Nb3 0.626 0.125 0.001
Nb4 0.875 0.876 0.501
Bi1 0.250 0.750 0.500
Bi2 0.500 0.500 0.000
Os1 0.000 0.000 0.000
Os2 0.750 0.250 0.500

Calculated values
**D(E_F)**: 3.62 states/eV/f.u.
**DFT total energy**: -8.02 eV/atom
**Space group**: I-42d


Record 3
This record from Alexandria describes an optimized crystal structure of Nb2Bi2Os. The functional is PBE.

Cell: 7.702 7.702 7.702 Å, 149.30 149.30 43.97°
Element x y z (fractional)
Nb1 0.084 0.084 0.000
Nb2 0.916 0.916 0.000
Bi1 0.250 0.750 0.500
Bi2 0.750 0.250 0.500
Os1 0.500 0.500 0.000

Calculated values
**Energy above the most stable polymorph in this dataset**: 0.5728 eV per atom
**D(E_F)**: 4.15 states/eV/f.u.
**Space group**: I4/mmm